(1)
First-principles (PBE) data for a relaxed Ac2Tb5Sm2 crystal, as listed in the Alexandria database.

Geometry as POSCAR:
```
Ac2Tb5Sm2
1.0
3.5540 0.0000 -0.7330
-0.5106 7.9587 -2.4753
0.7446 -3.0587 12.5919
Tb Ac Sm
5 2 2
Cartesian
2.3022 5.5979 2.1798 Tb
3.5580 1.7826 8.2681 Tb
0.0000 0.0000 0.0000 Tb
0.2301 3.1174 1.1154 Tb
1.4858 -0.6980 7.2036 Tb
2.9893 4.1983 5.5108 Ac
0.7988 0.7017 3.8727 Ac
2.1499 -0.7280 10.4235 Sm
1.6381 5.6279 -1.0400 Sm
```

The calculated total energy comes out at -4.324 eV per atom. The calculation puts the total magnetic moment at 0.00 Bohr magnetons per cell. As for the space-group type: C2/m, No. 12.



(2)
First-principles (PBE) data for a relaxed NdHN crystal, as listed in the Alexandria database.

Geometry as POSCAR:
```
NdHN
1.0
3.6946 1.1682 0.0000
0.0763 3.8741 0.0000
0.0000 0.0000 12.3668
Nd H N
4 4 4
Cartesian
0.8041 1.0753 4.7704 Nd
2.9668 3.9670 7.5964 Nd
1.0813 1.4459 10.9538 Nd
2.6896 3.5964 1.4130 Nd
3.0412 4.0666 3.7616 H
2.6151 3.4969 9.9450 H
1.1558 1.5455 2.4217 H
0.7297 0.9757 8.6051 H
0.6698 3.4303 0.0000 N
3.1011 1.6120 0.0000 N
2.4789 2.0773 6.1834 N
1.2920 2.9650 6.1834 N
```

The calculated total energy comes out at -6.182 eV per atom. The calculation puts the total magnetic moment at 0.00 Bohr magnetons per cell. As for the space-group type: Cmce, No. 64.



(3)
First-principles (PBE) data for a relaxed LaTmMoN3 crystal, as listed in the Alexandria database.

Geometry as POSCAR:
```
LaTmMoN3
1.0
3.3739 0.0000 0.0000
0.0000 5.8894 0.2362
0.0000 -2.3480 8.1852
N Tm La Mo
6 2 2 2
Cartesian
2.5304 -0.1598 1.4102 N
0.8435 3.3370 4.1259 N
0.8435 3.7012 7.0112 N
0.8435 0.5515 6.9014 N
2.5304 2.9899 1.5199 N
2.5304 0.2044 4.2954 N
2.5304 -0.8529 7.8088 Tm
0.8435 4.3943 0.6125 Tm
2.5304 2.1356 5.8047 La
0.8435 1.4058 2.6167 La
2.5304 4.3611 3.2978 Mo
0.8435 -0.8197 5.1235 Mo
```

The calculated total energy comes out at -8.753 eV per atom. The calculation puts the total magnetic moment at 0.00 Bohr magnetons per cell. As for the space-group type: P2_1/m, No. 11. The formation energy without anion corrections is -7.31 eV per formula unit.



(4)
First-principles (PBE) data for a relaxed CsIn3Br crystal, as listed in the Alexandria database.

Geometry as POSCAR:
```
CsIn3Br
1.0
-0.9449 -6.6473 -1.4337
4.9868 0.3067 -4.7088
4.6232 -1.6894 4.7861
Br In Cs
1 3 1
Cartesian
4.3326 -4.0150 -0.6782 Br
-0.4724 -3.3237 -0.7168 In
2.4934 0.1534 -2.3544 In
2.3116 -0.8447 2.3930 In
0.0000 0.0000 0.0000 Cs
```

The calculated total energy comes out at -1.436 eV per atom. The calculation puts the total magnetic moment at 0.00 Bohr magnetons per cell. The excess energy over the best structure of this formula in the dataset is 699.2 meV per atom. As for the space-group type: Pm-3m, No. 221. The formation energy without anion corrections is 3.56 eV per formula unit.



(5)
First-principles (PBE) data for a relaxed K23Rb6In crystal, as listed in the Alexandria database.

Geometry as POSCAR:
```
K23Rb6In
1.0
-10.7094 1.4975 -9.9926
-9.4115 -11.0617 -2.4183
-14.0168 1.1756 4.3512
K Rb In
23 6 1
Cartesian
-11.7142 -4.9430 0.9664 K
-11.4191 -0.3751 1.3348 K
-18.5167 -1.8015 -9.3402 K
0.0000 0.0000 0.0000 K
-16.4850 1.7730 -3.7613 K
-11.3879 -2.7983 -2.6886 K
-20.7182 -2.0158 0.2078 K
-15.6211 -6.5871 1.2805 K
-25.1418 -1.5745 -5.8325 K
-13.4195 -6.3728 -8.2675 K
-8.9959 -6.8141 -2.2272 K
-7.0084 0.5878 2.1756 K
-22.7186 -8.0135 -9.3945 K
-30.0940 -7.3949 -7.1050 K
-5.3547 0.7487 -4.9963 K
-10.0605 -4.7821 -6.2054 K
-17.6527 -10.1616 -4.2984 K
-4.0438 -0.9937 -0.9547 K
-9.6789 -0.2057 -6.2126 K
-12.3631 1.3365 -2.8207 K
-4.7058 -5.5308 -1.2092 K
-22.7498 -5.5903 -5.3711 K
-24.4589 -8.1828 -1.8471 K
-19.9313 -1.6271 -4.6323 Rb
-18.2098 -6.2017 -7.1628 Rb
-14.2064 -6.7614 -3.4274 Rb
-19.4462 -6.3220 -1.8009 Rb
-14.6916 -2.0666 -6.2588 Rb
-15.9280 -2.1869 -0.8969 Rb
-17.0689 -4.1943 -4.0299 In
```

The calculated total energy comes out at -1.089 eV per atom. The calculation puts the total magnetic moment at 0.00 Bohr magnetons per cell. As for the space-group type: Fm-3m, No. 225.



(6)
First-principles (PBE) data for a relaxed K2CrPt crystal, as listed in the Alexandria database.

Geometry as POSCAR:
```
K2CrPt
1.0
-3.1182 -3.4352 -3.9689
2.9927 -2.9042 -4.4593
0.4223 0.7252 6.0475
K Pt Cr
2 1 1
Cartesian
0.0000 0.0000 0.0000 K
-0.0627 -3.1697 -4.2141 K
1.6761 -2.6744 -1.3130 Pt
-1.3793 -2.9399 -1.0678 Cr
```

The calculated total energy comes out at -3.838 eV per atom. The calculation puts the total magnetic moment at 4.65 Bohr magnetons per cell. The excess energy over the best structure of this formula in the dataset is 360.2 meV per atom. As for the space-group type: I4/mmm, No. 139.



(7)
First-principles (PBE) data for a relaxed AlAs2PtSe crystal, as listed in the Alexandria database.

Geometry as POSCAR:
```
AlAs2PtSe
1.0
-4.2792 -1.9018 0.8095
1.2288 -0.8441 4.5124
-1.6529 4.2491 1.2450
Al As Se Pt
1 2 1 1
Cartesian
0.0000 0.0000 0.0000 Al
0.6144 -0.4221 2.2562 As
-2.1396 -0.9509 0.4048 As
-0.8264 2.1246 0.6225 Se
-2.3517 0.7516 3.2834 Pt
```

The calculated total energy comes out at -3.801 eV per atom. The calculation puts the total magnetic moment at 0.00 Bohr magnetons per cell. The excess energy over the best structure of this formula in the dataset is 151.1 meV per atom. As for the space-group type: P4/mmm, No. 123. The formation energy without anion corrections is 3.56 eV per formula unit.



(8)
First-principles (PBE) data for a relaxed Ce6FeBi2Os crystal, as listed in the Alexandria database.

Geometry as POSCAR:
```
Ce6FeBi2Os
1.0
-1.0818 -5.1080 -1.1554
3.8015 -1.5774 3.4142
-6.8654 -0.2490 7.5290
Ce Os Bi Fe
6 1 2 1
Cartesian
-0.4727 -3.4092 3.1391 Ce
-3.9736 -2.6785 3.1868 Ce
-1.5319 -0.9132 5.4716 Ce
-0.5409 -2.5540 -0.5777 Ce
1.9007 -0.7887 1.7071 Ce
-3.6730 -3.5252 6.6487 Ce
1.3598 -3.3427 1.1294 Os
-1.7440 -0.0633 1.9125 Bi
-5.1214 -0.1858 5.6164 Bi
-2.0728 -3.4672 4.8939 Fe
```

The calculated total energy comes out at -6.634 eV per atom. The calculation puts the total magnetic moment at 5.37 Bohr magnetons per cell. As for the space-group type: P4/mmm, No. 123.



Q: What is the formula in the first record?
A: Ac2Tb5Sm2